A relaxed structure of Cd2In2HgBi2, computed with PBE.

```
Cd2In2HgBi2
1.0
10.503 0.000 0.000
0.000 3.251 0.000
-3.117 0.000 11.583
Cd In Hg Bi
4 4 2 4
direct
0.044 0.000 0.269
0.456 0.500 0.731
0.544 0.500 0.269
0.956 0.000 0.731
0.221 0.500 0.866
0.279 0.000 0.134
0.721 0.000 0.866
0.779 0.500 0.134
0.000 0.500 0.000
0.500 0.000 0.000
0.154 0.500 0.584
0.346 0.000 0.416
0.654 0.000 0.584
0.846 0.500 0.416
```

Values from the calculation:
- ΔE_f (eV/f.u.) = 0.420
- ρ (kg/m3) = 9010
- magnetization (μB per atom) = 0.0000

***

A relaxed structure of LiZnPt14, computed with PBE.

```
LiZnPt14
1.0
9.257 0.000 0.000
0.000 2.771 4.798
0.000 -2.771 4.798
Li Zn Pt
1 1 14
direct
0.000 0.000 0.000
0.000 0.501 0.501
0.000 0.497 0.997
0.000 0.997 0.497
0.243 0.335 0.836
0.243 0.338 0.338
0.243 0.836 0.335
0.243 0.838 0.838
0.500 0.174 0.174
0.500 0.174 0.674
0.500 0.674 0.174
0.500 0.674 0.674
0.757 0.335 0.836
0.757 0.338 0.338
0.757 0.836 0.335
0.757 0.838 0.838
```

Values from the calculation:
- ΔE_f (eV/f.u.) = -2.654
- ρ (kg/m3) = 18911
- magnetization (μB per atom) = 0.0000